# Li2ThAu2

Li2ThAu2 after structural relaxation (PBE-GGA, the Open Quantum Materials Database).

a b c (Å): 7.2735 7.2735 7.2735
angles (deg): 148.71 148.71 44.84
Atoms (fractional coordinates):
Li (0.2500, 0.7500, 0.5000)
Li (0.7500, 0.2500, 0.5000)
Au (0.3914, 0.3914, 0.0000)
Au (0.6086, 0.6086, 0.0000)
Th (0.0000, 0.0000, 0.0000)

Results
For the total energy, the calculation gives -4.088 eV per atom. The space group is I4/mmm. The magnetization comes out at 0.0 μB per cell.

# TbGa2CuNi

TbGa2CuNi after structural relaxation (PBE-GGA, the Open Quantum Materials Database).

a b c (Å): 4.1205 4.1205 9.9357
angles (deg): 90.00 90.00 90.00
Atoms (fractional coordinates):
Ni (0.0000, 0.5000, 0.6287)
Ni (0.5000, 0.0000, 0.3713)
Ga (0.0000, 0.5000, 0.8641)
Ga (0.5000, 0.0000, 0.1359)
Ga (0.0000, 0.0000, 0.5000)
Ga (0.5000, 0.5000, 0.5000)
Cu (0.0000, 0.0000, 0.0000)
Cu (0.5000, 0.5000, 0.0000)
Tb (0.0000, 0.5000, 0.2540)
Tb (0.5000, 0.0000, 0.7460)

Results
The space group is P4/nmm. The excess energy over the best structure of this formula in the dataset comes out at 0 meV/atom. The magnetization comes out at 0.0 μB per cell.

# PrTa2Os2

PrTa2Os2 after structural relaxation (PBE-GGA, the Open Quantum Materials Database).

a b c (Å): 6.2566 6.2566 6.2566
angles (deg): 138.79 138.79 59.69
Atoms (fractional coordinates):
Ta (0.7500, 0.2500, 0.5000)
Ta (0.2500, 0.7500, 0.5000)
Pr (0.0000, 0.0000, 0.0000)
Os (0.3801, 0.3801, 0.0000)
Os (0.6199, 0.6199, 0.0000)

Results
The formation energy comes out at -27.5 kJ/mol of atoms. The space group is I4/mmm. The magnetization comes out at 0.0 μB per cell.